The following is a DFT calculation (PBE-GGA) of crystalline Be3PdRh at its relaxed geometry.

Summary:
ΔE_f: 0.433 eV/atom
Distance to the lowest polymorph of the same formula: 165 meV per atom
Spin magnetization: 0.00 μB/cell
Symmetry: Pm-3m, No. 221
Total DFT energy (no corrections): -4.31 eV/atom

Unit cell a=4.0739 b=4.0739 c=4.0739 alpha=90.00 beta=90.00 gamma=90.00
Atoms (fractional coordinates):
1 Pd 0.0000 0.0000 0.0000
2 Be 0.0000 0.0000 0.5000
3 Be 0.5000 0.0000 0.0000
4 Be 0.0000 0.5000 0.0000
5 Rh 0.5000 0.5000 0.5000



The following is a DFT calculation (PBE-GGA) of crystalline AcPm4Nd2Ho at its relaxed geometry.

Summary:
ΔE_f: 0.385 eV/atom
Spin magnetization: 0.00 μB/cell
Symmetry: C2/c, No. 15
Total DFT energy (no corrections): -4.27 eV/atom

Unit cell a=9.7416 b=9.7416 c=12.0621 alpha=128.18 beta=128.18 gamma=88.57
Atoms (fractional coordinates):
1 Pm 0.7296 0.2410 0.4855
2 Ho 0.0000 0.0000 0.0000
3 Pm 0.7271 0.7425 0.9804
4 Ac 0.0000 0.5000 0.5000
5 Pm 0.2590 0.7704 0.0145
6 Ac 0.0000 0.5000 0.0000
7 Pm 0.2729 0.2575 0.0196
8 Nd 0.5000 0.0000 0.5000
9 Nd 0.5000 0.0000 0.0000
10 Nd 0.0000 0.0000 0.5000
11 Nd 0.5000 0.5000 0.0000
12 Pm 0.2425 0.2271 0.4804
13 Ho 0.5000 0.5000 0.5000
14 Pm 0.7575 0.7729 0.5196
15 Pm 0.7410 0.2296 0.9855
16 Pm 0.2704 0.7590 0.5145



The following is a DFT calculation (PBE-GGA) of crystalline BeAl2Tc at its relaxed geometry.

Summary:
ΔE_f: -0.357 eV/atom
Spin magnetization: 0.00 μB/cell
Symmetry: Imm2, No. 44
Total DFT energy (no corrections): -5.75 eV/atom

Unit cell a=4.7953 b=4.7953 c=4.7953 alpha=140.33 beta=131.43 gamma=64.45
Atoms (fractional coordinates):
1 Tc 0.2647 0.7647 0.5000
2 Be 0.4934 0.4934 0.0000
3 Al 0.7367 0.2367 0.5000
4 Al 0.0051 0.0051 0.0000



The following is a DFT calculation (PBE-GGA) of crystalline LiTbGa4Ni2 at its relaxed geometry.

Summary:
ΔE_f: -0.474 eV/atom
Spin magnetization: 0.00 μB/cell
Symmetry: R-3m, No. 166
Total DFT energy (no corrections): -4.25 eV/atom

Unit cell a=4.1251 b=4.1251 c=8.8489 alpha=76.52 beta=76.52 gamma=60.00
Atoms (fractional coordinates):
1 Ga 0.8706 0.8706 0.3882
2 Ga 0.1294 0.1294 0.6118
3 Ni 0.2329 0.2329 0.3013
4 Ni 0.7671 0.7671 0.6987
5 Li 0.5000 0.5000 0.5000
6 Ga 0.4021 0.4021 0.7936
7 Ga 0.5979 0.5979 0.2064
8 Tb 0.0000 0.0000 0.0000